This record from the Alexandria database describes a geometry-optimized AcNdTlPt structure. The functional is PBE-GGA.

Unit cell a=5.4659 b=5.4659 c=5.4659 alpha=60.00 beta=60.00 gamma=60.00
With the nearest neighbours (Å) after each atom.
Element x y z (fractional)
Ac (0.0000, 0.0000, 0.0000)  4 Tl 3.35, 4 Pt 3.35
Nd (0.5000, 0.5000, 0.5000)  4 Pt 3.35, 4 Tl 3.35
Tl (0.2500, 0.2500, 0.2500)  4 Nd 3.35, 4 Ac 3.35
Pt (0.7500, 0.7500, 0.7500)  4 Nd 3.35, 4 Ac 3.35

**DOS at the Fermi energy**: 0.86 states/eV/atom
**Energy of formation from the pure elements**: -0.565 eV per atom
**V**: 115 Å³/f.u.